# 1
Material: TaHg2Rh
Method: DFT, GGA-PBE
State: relaxed

E above lowest polymorph: 0.308 eV/atom
E_tot: -4.64 eV/atom
symmetry: No. 10
formation enthalpy at 0 K: 0.315 eV per atom

The structure in POSCAR format:
```
TaHg2Rh
1.0
2.912 0.000 0.000
0.000 4.737 0.000
-1.163 0.000 5.345
Ta Hg Rh
1 2 1
Cartesian
0.000 0.000 0.000
0.098 2.369 3.965
1.651 2.369 1.380
0.875 0.000 2.673
```

=====

# 2
Material: Ba2Mg2Tl
Method: DFT, GGA-PBE
State: relaxed

E above lowest polymorph: 0.082 eV/atom
E_tot: -1.96 eV/atom
symmetry: No. 127
formation enthalpy at 0 K: -0.082 eV per atom

The structure in POSCAR format:
```
Ba2Mg2Tl
1.0
8.081 0.000 0.000
0.000 8.081 0.000
0.000 0.000 5.678
Ba Mg Tl
4 4 2
Cartesian
1.461 2.579 0.000
2.579 6.620 0.000
5.502 1.461 0.000
6.620 5.502 0.000
1.056 5.097 2.839
2.984 1.056 2.839
5.097 7.025 2.839
7.025 2.984 2.839
0.000 0.000 2.839
4.040 4.040 2.839
```

=====

# 3
Material: AcLu3
Method: DFT, GGA-PBE
State: relaxed

E_tot: -4.29 eV/atom
symmetry: No. 225
formation enthalpy at 0 K: 0.123 eV per atom

The structure in POSCAR format:
```
AcLu3
1.0
8.083 0.000 0.000
0.000 8.083 0.000
0.000 0.000 8.083
Ac Lu
4 12
Cartesian
0.000 0.000 0.000
0.000 4.042 4.042
4.042 0.000 4.042
4.042 4.042 0.000
0.000 0.000 4.042
0.000 4.042 0.000
2.021 2.021 2.021
2.021 2.021 6.062
2.021 6.062 2.021
2.021 6.062 6.062
4.042 0.000 0.000
4.042 4.042 4.042
6.062 2.021 2.021
6.062 2.021 6.062
6.062 6.062 2.021
6.062 6.062 6.062
```

=====

# 4
Material: La3Dy2Co2
Method: DFT, GGA-PBE
State: relaxed

E_tot: -5.56 eV/atom
symmetry: No. 2
formation enthalpy at 0 K: -0.101 eV per atom

The structure in POSCAR format:
```
La3Dy2Co2
1.0
3.819 0.000 0.000
-1.907 6.106 0.000
-1.895 -2.319 8.186
La Dy Co
3 2 2
Cartesian
0.000 0.000 0.000
0.008 0.208 3.443
0.010 3.579 4.743
-1.895 0.881 6.642
1.913 2.906 1.543
0.012 -1.023 6.151
0.005 4.810 2.035
```

=====

Fermi-level density of states (states/eV per atom)
0.4930; 1.3129; 1.1674; 0.9556